This record from Alexandria via LeMat-Bulk describes OsW2N after structural relaxation. The functional is PBE-GGA.

Unit cell a=4.943 b=4.943 c=10.898 alpha=90.00 beta=90.00 gamma=90.00
Space group I-42d (No. 122)
Symmetry-distinct sites (fractional):
Os (0.000, 0.000, 0.000) x4
W (0.163, 0.250, 0.625) x8
N (0.000, 0.000, 0.500) x4

Output
E_form (uncorrected) in meV per atom: 475
Crystal system: tetragonal
Volume in Å³/f.u.: 66.6
Total magnetic moment in μB per formula unit: 0.00